Model one:
Entry from the Alexandria database: crystalline YMn2Au at its relaxed geometry (GGA-PBEsol).

Its calculated volume is 18.459 A^3/atom. Its size of the total moment is 0.2 μB per formula unit.

a = 4.213 Å, b = 4.213 Å, c = 5.384 Å
α = 66.97°, β = 66.97°, γ = 60.00°
Fractional positions:
Mn 0.303 0.303 0.092
Mn 0.981 0.981 0.056
Y 0.502 0.502 0.493
Au 0.714 0.714 0.859

Model two:
Entry from the Alexandria database: crystalline YMn2Au at its relaxed geometry (GGA-PBEsol).

Its calculated volume is 16.781 A^3/atom. Its size of the total moment is 6.4 μB per formula unit.

a = 4.562 Å, b = 4.562 Å, c = 4.562 Å
α = 60.00°, β = 60.00°, γ = 60.00°
Fractional positions:
Y 0.500 0.500 0.500
Mn 0.250 0.250 0.250
Mn 0.750 0.750 0.750
Au 0.000 0.000 0.000

Model three:
Entry from the Alexandria database: crystalline YMn2Au at its relaxed geometry (GGA-PBEsol).

Its calculated volume is 17.471 A^3/atom. Its size of the total moment is 6.3 μB per formula unit.

a = 2.999 Å, b = 5.114 Å, c = 5.388 Å
α = 116.69°, β = 103.59°, γ = 95.23°
Fractional positions:
Y 0.500 0.000 0.000
Mn 0.500 0.500 0.500
Mn 0.000 0.000 0.500
Au 0.000 0.500 0.000

Energy ordering: model one at the bottom, the next structure 215 meV/atom above.

Model one:
Entry from the Alexandria database: crystalline Mo2Au at its relaxed geometry (GGA-PBEsol).

Its calculated volume is 15.748 A^3/atom. Its size of the total moment is 0.0 μB per formula unit.

a = 2.618 Å, b = 4.565 Å, c = 4.565 Å
α = 120.00°, β = 90.00°, γ = 90.00°
Fractional positions:
Mo 0.635 0.667 0.333
Mo 0.365 0.333 0.667
Au 0.000 0.000 0.000

Model two:
Entry from the Alexandria database: crystalline Mo2Au at its relaxed geometry (GGA-PBEsol).

Its calculated volume is 15.709 A^3/atom. Its size of the total moment is 0.0 μB per formula unit.

a = 2.664 Å, b = 2.664 Å, c = 6.901 Å
α = 101.13°, β = 101.13°, γ = 90.00°
Fractional positions:
Mo 0.334 0.334 0.667
Mo 0.666 0.666 0.333
Au 0.000 0.000 0.000

Energy ordering: model two at the bottom, the next structure 40 meV/atom above.

Model one:
Entry from the Alexandria database: crystalline NiMoAu2 at its relaxed geometry (GGA-PBEsol).

Its calculated volume is 14.853 A^3/atom. Its size of the total moment is 0.0 μB per formula unit.

a = 2.733 Å, b = 3.882 Å, c = 5.600 Å
α = 90.00°, β = 89.98°, γ = 90.00°
Fractional positions:
Au 0.000 0.000 0.743
Au 0.000 0.000 0.257
Ni 0.500 0.500 0.500
Mo 0.500 0.500 0.000

Model two:
Entry from the Alexandria database: crystalline NiMoAu2 at its relaxed geometry (GGA-PBEsol).

Its calculated volume is 15.062 A^3/atom. Its size of the total moment is 0.0 μB per formula unit.

a = 2.745 Å, b = 4.616 Å, c = 5.460 Å
α = 115.00°, β = 104.56°, γ = 90.00°
Fractional positions:
Au 0.755 0.255 0.510
Au 0.973 0.973 0.947
Ni 0.241 0.741 0.482
Mo 0.530 0.530 0.060

Energy ordering: model one at the bottom, the next structure 19 meV/atom above.

Model one:
Entry from the Alexandria database: crystalline Mo2OsAu at its relaxed geometry (GGA-PBEsol).

Its calculated volume is 15.014 A^3/atom. Its size of the total moment is 0.0 μB per formula unit.

a = 3.990 Å, b = 3.880 Å, c = 3.880 Å
α = 90.00°, β = 90.00°, γ = 90.00°
Fractional positions:
Mo 0.000 0.500 0.000
Mo 0.000 0.000 0.500
Os 0.500 0.500 0.500
Au 0.500 0.000 0.000

Model two:
Entry from the Alexandria database: crystalline Mo2OsAu at its relaxed geometry (GGA-PBEsol).

Its calculated volume is 15.205 A^3/atom. Its size of the total moment is 0.0 μB per formula unit.

a = 2.787 Å, b = 3.935 Å, c = 5.546 Å
α = 90.00°, β = 90.00°, γ = 90.00°
Fractional positions:
Mo 0.000 0.000 0.772
Mo 0.000 0.000 0.228
Os 0.500 0.500 0.000
Au 0.500 0.500 0.500

Energy ordering: model two at the bottom, the next structure 63 meV/atom above.